Material: MnAsSe2N
Method: DFT, PBEsol
State: relaxed

Geometry as extended XYZ:
```
5
Lattice="-2.117 -2.284 1.754 0.547 -3.380 -3.741 4.049 -1.947 2.351" Properties=species:S:1:pos:R:3 pbc="T T T"
As 0.000 0.000 0.000
Mn 1.239 -3.806 0.183
N -1.059 -1.142 0.877
Se 2.024 -0.974 1.176
Se 0.274 -1.690 -1.870
```

Properties
E_form (uncorrected) = 797 meV per atom
VASP energy = -5.4223 eV per atom
size of the total moment = 0.9760 μB/atom
space-group type = No. 123
N(E_F) = 2.54 states/eV/cell

Material: LiBe3In
Method: DFT, PBEsol
State: relaxed

Geometry as extended XYZ:
```
5
Lattice="4.030 0.000 0.000 0.000 4.030 0.000 0.000 0.000 4.030" Properties=species:S:1:pos:R:3 pbc="T T T"
In 2.015 2.015 2.015
Be 2.015 0.000 0.000
Be 0.000 2.015 0.000
Be 0.000 0.000 2.015
Li 0.000 0.000 0.000
```

Properties
formation enthalpy at 0 K = 0.9002 eV per atom
VASP energy = -2.4897 eV per atom
size of the total moment = 0.0000 μB/atom
space-group type = No. 221
N(E_F) = 1.03 states/eV/cell

Material: Mo2RuPt
Method: DFT, PBEsol
State: relaxed

Geometry as extended XYZ:
```
4
Lattice="2.732 0.000 0.000 0.000 3.887 0.000 0.000 0.000 5.489" Properties=species:S:1:pos:R:3 pbc="T T T"
Ru 1.366 1.943 2.744
Mo 0.000 0.000 1.458
Mo 0.000 0.000 4.031
Pt 1.366 1.943 0.000
```

Properties
formation enthalpy at 0 K = -0.1808 eV per atom
VASP energy = -10.3487 eV per atom
size of the total moment = 0.0000 μB/atom
space-group type = No. 47
N(E_F) = 2.69 states/eV/cell
energy above the most stable polymorph in this dataset = 0.088 eV per formula unit

Material: Sr2VN3
Method: DFT, PBEsol
State: relaxed

Geometry as extended XYZ:
```
24
Lattice="-5.584 -0.787 -0.483 -2.626 -4.060 3.804 -2.143 8.867 8.124" Properties=species:S:1:pos:R:3 pbc="T T T"
N -5.400 3.577 4.787
N -4.381 5.847 6.304
N -7.013 -3.602 3.078
N -3.169 -1.681 5.657
N -4.954 0.443 6.659
N -7.184 5.702 5.789
N -4.243 -0.565 2.033
N -5.972 -1.827 5.142
N -2.305 1.855 4.147
N -8.048 2.165 7.299
N -3.340 7.622 8.367
N -6.110 4.586 9.413
Sr -4.904 1.089 4.110
Sr -5.450 2.931 7.336
Sr -1.620 -0.346 2.674
Sr -2.566 4.113 5.469
Sr -8.733 4.367 8.772
Sr -6.159 6.775 8.029
Sr -4.194 -2.754 3.417
Sr -7.787 -0.093 5.977
V -5.851 3.168 10.458
V -4.503 0.853 0.987
V -2.152 2.765 2.624
V -8.201 1.255 8.822
```

Properties
E_form (uncorrected) = -1262 meV per atom
VASP energy = -7.7442 eV per atom
size of the total moment = 0.0000 μB/atom
space-group type = No. 15
N(E_F) = 0.00 states/eV/cell

Material: Na3TmSi2O7
Method: DFT, PBEsol
State: relaxed

Geometry as extended XYZ:
```
78
Lattice="9.370 0.000 0.000 -4.685 8.115 0.000 0.000 0.000 13.682" Properties=species:S:1:pos:R:3 pbc="T T T"
O 4.217 6.513 2.179
O -3.557 6.897 12.001
O 3.470 3.931 5.445
O 2.223 5.513 3.655
O 2.904 2.206 13.025
O 1.832 5.924 1.088
O 3.064 7.719 9.020
O 4.239 1.034 1.886
O 1.224 4.189 8.727
O 5.144 4.496 13.025
O 5.707 4.682 10.496
O 1.618 0.368 5.160
O 2.462 2.601 10.496
O 0.468 1.602 9.020
O -0.458 3.618 6.184
O 3.067 7.747 12.001
O -1.361 6.739 1.088
O 5.886 0.832 10.496
O 8.217 1.206 2.179
O -1.322 6.703 6.184
O 1.215 4.183 12.286
O 2.853 2.191 7.929
O 4.194 6.529 5.160
O 8.242 1.218 5.160
O -3.532 6.909 9.020
O 3.461 3.926 1.886
O -1.022 3.433 3.655
O -1.670 4.971 12.286
O 6.355 3.144 5.445
O -1.670 4.961 8.727
O -1.201 7.283 3.655
O 1.621 0.396 2.179
O -0.470 3.566 1.088
O 0.455 7.075 12.286
O 5.156 4.549 7.929
O 6.007 1.412 13.025
O 6.047 1.376 7.929
O 0.491 1.586 12.001
O 4.230 1.040 5.445
O 0.446 7.080 8.727
O 6.355 3.154 1.886
O 1.781 5.909 6.184
Na 4.685 2.705 10.870
Na 6.329 0.113 1.457
Na -1.422 2.690 8.297
Na 1.629 2.559 5.862
Na 1.619 2.577 1.457
Na 0.000 0.000 7.088
Na -1.402 2.691 12.703
Na 0.000 0.000 0.247
Na 6.339 0.131 5.862
Na -1.644 8.001 8.297
Na -1.654 7.983 12.703
Na 3.056 5.556 12.703
Na 4.685 2.705 3.678
Na 3.066 5.538 8.297
Na 0.000 5.410 4.029
Na 6.087 5.424 5.862
Na 6.107 5.424 1.457
Na 0.000 5.410 10.519
Si -1.525 7.964 2.158
Si 2.972 5.451 5.156
Si -1.449 2.812 2.158
Si 2.975 5.454 2.158
Si 6.210 0.151 8.999
Si 1.713 2.664 11.997
Si 6.134 5.303 8.999
Si 6.206 0.152 11.997
Si 1.710 2.661 8.999
Si 6.136 5.299 11.997
Si -1.521 7.963 5.156
Si -1.451 2.816 5.156
Tm 4.685 2.705 6.839
Tm 0.000 0.000 10.504
Tm 0.000 0.000 3.663
Tm 0.000 5.410 7.372
Tm 0.000 5.410 13.680
Tm 4.685 2.705 0.531
```

Properties
E_form (uncorrected) = -2711 meV per atom
VASP energy = -7.1216 eV per atom
size of the total moment = 0.0000 μB/atom
space-group type = No. 173
N(E_F) = 0.00 states/eV/cell

Material: Ge2W
Method: DFT, PBEsol
State: relaxed

Geometry as extended XYZ:
```
3
Lattice="3.304 0.000 0.000 0.000 3.304 0.000 -1.652 -1.652 4.097" Properties=species:S:1:pos:R:3 pbc="T T T"
Ge 1.652 1.652 1.335
Ge 0.000 0.000 2.762
W 0.000 0.000 0.000
```

Properties
formation enthalpy at 0 K = -0.0226 eV per atom
VASP energy = -7.9178 eV per atom
size of the total moment = 0.0000 μB/atom
space-group type = No. 139
N(E_F) = 0.95 states/eV/cell

Material: Sc2CuTcAs
Method: DFT, PBEsol
State: relaxed

Geometry as extended XYZ:
```
5
Lattice="4.164 0.000 0.000 0.000 4.792 0.000 0.000 0.000 4.792" Properties=species:S:1:pos:R:3 pbc="T T T"
Sc 0.000 2.396 0.000
Sc 0.000 0.000 2.396
As 2.082 0.000 0.000
Cu 0.000 0.000 0.000
Tc 2.082 2.396 2.396
```

Properties
formation enthalpy at 0 K = 0.5800 eV per atom
VASP energy = -6.2034 eV per atom
size of the total moment = 0.1483 μB/atom
space-group type = No. 123
N(E_F) = 4.46 states/eV/cell

Material: HfHgAsSe2
Method: DFT, PBEsol
State: relaxed

Geometry as extended XYZ:
```
5
Lattice="-2.811 4.156 0.621 -2.567 -2.290 3.705 3.446 1.808 3.504" Properties=species:S:1:pos:R:3 pbc="T T T"
Se -1.283 -1.145 1.853
Se -1.406 2.078 0.311
As 1.723 0.904 1.752
Hg -0.966 1.837 3.915
Hf 0.000 0.000 0.000
```

Properties
E_form (uncorrected) = -146 meV per atom
VASP energy = -4.9215 eV per atom
size of the total moment = 0.0000 μB/atom
space-group type = No. 123
N(E_F) = 4.38 states/eV/cell
energy above the most stable polymorph in this dataset = 0.000 eV per formula unit